# 1
# PBE LiLuW, optimized geometry
# offset from the most stable computed form = 0.4097 eV per atom
data_LiLuW
_chemical_formula_sum 'Li4 Lu4 W4'
_symmetry_space_group_name_H-M 'F -4 3 m'
_symmetry_Int_Tables_number 216
_symmetry_space_group_name_Hall 'F -4 2 3'
_cell_length_a 6.597
_cell_length_b 6.597
_cell_length_c 6.597
_cell_angle_alpha 90.00
_cell_angle_beta 90.00
_cell_angle_gamma 90.00
loop_
_atom_site_label
_atom_site_type_symbol
_atom_site_fract_x
_atom_site_fract_y
_atom_site_fract_z
Li1 Li 0.000 0.000 0.000
Lu1 Lu 0.250 0.250 0.250
W1 W 0.000 0.000 0.500

***

# 2
# PBE LiLuW, optimized geometry
# offset from the most stable computed form = 0.0000 eV per atom
data_LiLuW
_chemical_formula_sum 'Li4 Lu4 W4'
_symmetry_space_group_name_H-M 'F -4 3 m'
_symmetry_Int_Tables_number 216
_symmetry_space_group_name_Hall 'F -4 2 3'
_cell_length_a 6.169
_cell_length_b 6.169
_cell_length_c 6.169
_cell_angle_alpha 90.00
_cell_angle_beta 90.00
_cell_angle_gamma 90.00
loop_
_atom_site_label
_atom_site_type_symbol
_atom_site_fract_x
_atom_site_fract_y
_atom_site_fract_z
Li1 Li 0.000 0.000 0.000
Lu1 Lu 0.250 0.250 0.750
W1 W 0.250 0.250 0.250